(1)
{"formula": "Rb2CrCo3F12", "functional": "GGA+U", "state": "optimized geometry", "lattice": [[-4.977, -5.004, -2.168], [1.310, -7.216, 0.855], [-3.778, -3.940, 4.972]], "species": ["Co", "Co", "Co", "F", "F", "F", "F", "F", "F", "F", "F", "F", "F", "F", "F", "Cr", "Rb", "Rb"], "frac_coords": [[0.500, 0.000, 0.000], [0.000, 0.500, 0.000], [0.000, 0.000, 0.500], [0.931, 0.931, 0.314], [0.069, 0.686, 0.069], [0.314, 0.931, 0.931], [0.069, 0.069, 0.686], [0.072, 0.674, 0.674], [0.674, 0.674, 0.072], [0.928, 0.326, 0.326], [0.674, 0.072, 0.674], [0.931, 0.314, 0.931], [0.686, 0.069, 0.069], [0.326, 0.928, 0.326], [0.326, 0.326, 0.928], [0.000, 0.000, 0.000], [0.379, 0.379, 0.379], [0.621, 0.621, 0.621]]}

(2)
{"formula": "Tl2CrCo3F12", "functional": "GGA+U", "state": "optimized geometry", "lattice": [[7.400, 0.073, 0.051], [3.718, 6.399, 0.051], [3.718, 2.164, 6.022]], "species": ["F", "F", "F", "F", "F", "F", "F", "F", "F", "F", "F", "F", "Cr", "Co", "Co", "Co", "Tl", "Tl"], "frac_coords": [[0.686, 0.068, 0.068], [0.932, 0.314, 0.932], [0.068, 0.068, 0.686], [0.674, 0.674, 0.075], [0.925, 0.326, 0.326], [0.932, 0.932, 0.314], [0.314, 0.932, 0.932], [0.674, 0.075, 0.674], [0.326, 0.326, 0.925], [0.075, 0.674, 0.674], [0.326, 0.925, 0.326], [0.068, 0.686, 0.068], [0.000, 0.000, 0.000], [0.000, 0.000, 0.500], [0.000, 0.500, 0.000], [0.500, 0.000, 0.000], [0.612, 0.612, 0.612], [0.388, 0.388, 0.388]]}

(3)
{"formula": "TlCrCoF2", "functional": "GGA+U", "state": "optimized geometry", "lattice": [[4.493, 0.000, 0.000], [0.000, 6.012, 0.000], [0.000, 0.000, 4.493]], "species": ["F", "F", "Cr", "Co", "Tl"], "frac_coords": [[0.000, 0.000, 0.500], [0.500, 0.000, 0.000], [0.000, 0.500, 0.000], [0.500, 0.500, 0.500], [0.000, 0.000, 0.000]]}

(4)
{"formula": "Y2CrCoF", "functional": "GGA+U", "state": "optimized geometry", "lattice": [[4.872, 0.000, 0.000], [0.000, 4.280, 0.000], [0.000, 0.000, 4.872]], "species": ["Y", "Y", "Co", "Cr", "F"], "frac_coords": [[0.000, 0.000, 0.500], [0.500, 0.000, 0.000], [0.000, 0.500, 0.000], [0.500, 0.500, 0.500], [0.000, 0.000, 0.000]]}

Number 1: calculated volume 15.6 Å³/atom, calculated total energy -4.984 eV per atom. Number 2: calculated volume 15.7 Å³/atom, calculated total energy -4.957 eV per atom. Number 3: calculated volume 24.3 Å³/atom, calculated total energy -3.843 eV per atom. Number 4: calculated volume 20.3 Å³/atom, calculated total energy -5.990 eV per atom.